Entry 1:
! AgSnSbTe2, optimized geometry, DFT PBE-GGA; values from VASP
&SYSTEM
  ibrav = 0, nat = 5, ntyp = 4
/
ATOMIC_SPECIES
Sn 118.71 Sn.upf
Ag 107.87 Ag.upf
Te 127.60 Te.upf
Sb 121.76 Sb.upf
CELL_PARAMETERS angstrom
-2.312 2.886 -4.387
2.874 -3.316 -3.696
-4.341 -3.642 -0.108
ATOMIC_POSITIONS crystal
Sn 0.000 0.000 0.000
Ag 0.500 0.500 0.500
Te 0.000 0.500 0.000
Te 0.500 0.000 0.000
Sb 0.000 0.000 0.500
! **Total moment**: 0.6 Bohr magnetons per cell
! **Relative energy among the computed polymorphs**: 261.6 meV/atom
! **Crystal system**: tetragonal
! **E_form (uncorrected)**: 0.714 eV/atom
! **DFT total energy**: -2.74 eV/atom

---

Entry 2:
! Tb12Pm6Mg, optimized geometry, DFT PBE-GGA; values from VASP
&SYSTEM
  ibrav = 0, nat = 19, ntyp = 3
/
ATOMIC_SPECIES
Pm 145.00 Pm.upf
Tb 158.93 Tb.upf
Mg 24.30 Mg.upf
CELL_PARAMETERS angstrom
-0.983 -8.304 1.790
1.535 -2.114 -8.143
8.359 -0.820 1.608
ATOMIC_POSITIONS crystal
Pm 0.094 0.700 0.262
Tb 0.188 0.361 0.015
Pm 0.700 0.262 0.094
Tb 0.221 0.462 0.564
Tb 0.361 0.015 0.188
Tb 0.538 0.436 0.779
Tb 0.639 0.985 0.812
Pm 0.300 0.738 0.906
Tb 0.462 0.564 0.221
Tb 0.985 0.812 0.639
Mg 0.000 0.000 0.000
Tb 0.812 0.639 0.985
Tb 0.436 0.779 0.538
Pm 0.906 0.300 0.738
Tb 0.564 0.221 0.462
Tb 0.779 0.538 0.436
Pm 0.738 0.906 0.300
Tb 0.015 0.188 0.361
Pm 0.262 0.094 0.700
! **Total moment**: 0.0 Bohr magnetons per cell
! **Relative energy among the computed polymorphs**: 0.0 meV/atom
! **Crystal system**: trigonal
! **DFT total energy**: -4.38 eV/atom
! **ΔE_f**: 0.13 eV per atom

---

Entry 3:
! Sm3ThH8, optimized geometry, DFT PBE-GGA; values from VASP
&SYSTEM
  ibrav = 0, nat = 12, ntyp = 3
/
ATOMIC_SPECIES
H 1.01 H.upf
Sm 150.36 Sm.upf
Th 232.04 Th.upf
CELL_PARAMETERS angstrom
5.392 0.000 0.000
0.000 5.392 0.000
0.000 0.000 5.392
ATOMIC_POSITIONS crystal
H 0.749 0.749 0.251
H 0.251 0.749 0.251
H 0.251 0.251 0.251
H 0.251 0.251 0.749
Sm 0.500 0.000 0.500
Sm 0.500 0.500 0.000
Th 0.000 0.000 0.000
Sm 0.000 0.500 0.500
H 0.749 0.749 0.749
H 0.749 0.251 0.251
H 0.251 0.749 0.749
H 0.749 0.251 0.749
! **Total moment**: 0.0 Bohr magnetons per cell
! **Crystal system**: cubic
! **DFT total energy**: -4.67 eV/atom

---

Entry 4:
! La4Tb5Cd, optimized geometry, DFT PBE-GGA; values from VASP
&SYSTEM
  ibrav = 0, nat = 10, ntyp = 3
/
ATOMIC_SPECIES
La 138.91 La.upf
Tb 158.93 Tb.upf
Cd 112.41 Cd.upf
CELL_PARAMETERS angstrom
-3.655 0.416 0.015
-0.395 -3.510 1.029
0.865 6.741 23.320
ATOMIC_POSITIONS crystal
La 0.000 0.000 0.185
Tb 0.500 0.500 0.081
Tb 0.500 0.500 0.500
Tb 0.500 0.500 0.710
La 0.000 0.000 0.815
Cd 0.000 0.000 0.000
Tb 0.500 0.500 0.290
Tb 0.500 0.500 0.919
La 0.000 0.000 0.395
La 0.000 0.000 0.605
! **Total moment**: 0.0 Bohr magnetons per cell
! **Relative energy among the computed polymorphs**: 0.0 meV/atom
! **Crystal system**: tetragonal
! **DFT total energy**: -4.42 eV/atom
! **ΔE_f**: -0.04 eV per atom

---

Entry 5:
! NaCaLaP2, optimized geometry, DFT PBE-GGA; values from VASP
&SYSTEM
  ibrav = 0, nat = 5, ntyp = 4
/
ATOMIC_SPECIES
Na 22.99 Na.upf
P 30.97 P.upf
La 138.91 La.upf
Ca 40.08 Ca.upf
CELL_PARAMETERS angstrom
5.580 0.000 0.000
0.000 6.245 0.000
0.000 0.000 5.580
ATOMIC_POSITIONS crystal
Na 0.500 0.500 0.500
P 0.500 0.000 0.000
P 0.000 0.000 0.500
La 0.000 0.000 0.000
Ca 0.000 0.500 0.000
! **Total moment**: 0.0 Bohr magnetons per cell
! **Crystal system**: tetragonal
! **DFT total energy**: -3.46 eV/atom
! **ΔE_f**: 0.35 eV per atom

---

Entry 6:
! Bi2BPN, optimized geometry, DFT PBE-GGA; values from VASP
&SYSTEM
  ibrav = 0, nat = 5, ntyp = 4
/
ATOMIC_SPECIES
N 14.01 N.upf
Bi 208.98 Bi.upf
B 10.81 B.upf
P 30.97 P.upf
CELL_PARAMETERS angstrom
5.417 0.000 0.000
0.000 3.563 0.000
0.000 0.000 5.417
ATOMIC_POSITIONS crystal
N 0.500 0.500 0.500
Bi 0.500 0.000 0.000
Bi 0.000 0.000 0.500
B 0.000 0.500 0.000
P 0.000 0.000 0.000
! **Total moment**: 0.0 Bohr magnetons per cell
! **Relative energy among the computed polymorphs**: 278.6 meV/atom
! **Crystal system**: tetragonal
! **E_form (uncorrected)**: 1.559 eV/atom
! **DFT total energy**: -4.08 eV/atom

---

Entry 7:
! YCuAgTe3, optimized geometry, DFT PBE-GGA; values from VASP
&SYSTEM
  ibrav = 0, nat = 12, ntyp = 4
/
ATOMIC_SPECIES
Te 127.60 Te.upf
Cu 63.55 Cu.upf
Ag 107.87 Ag.upf
Y 88.91 Y.upf
CELL_PARAMETERS angstrom
-3.536 -1.795 1.327
2.724 -7.665 -3.106
3.581 -0.997 8.195
ATOMIC_POSITIONS crystal
Te 0.750 0.240 0.512
Cu 0.750 0.938 0.430
Ag 0.250 0.641 0.156
Y 0.750 0.847 0.761
Te 0.250 0.600 0.837
Te 0.750 0.400 0.163
Y 0.250 0.153 0.239
Te 0.250 0.101 0.865
Ag 0.750 0.359 0.844
Te 0.750 0.899 0.135
Cu 0.250 0.062 0.570
Te 0.250 0.760 0.488
! **Total moment**: 0.0 Bohr magnetons per cell
! **Crystal system**: monoclinic
! **E_form (uncorrected)**: -0.551 eV/atom
! **DFT total energy**: -4.36 eV/atom

---

Entry 8:
! Mo2AsBr, optimized geometry, DFT PBE-GGA; values from VASP
&SYSTEM
  ibrav = 0, nat = 4, ntyp = 3
/
ATOMIC_SPECIES
Br 79.90 Br.upf
Mo 95.94 Mo.upf
As 74.92 As.upf
CELL_PARAMETERS angstrom
3.305 0.000 0.000
0.000 3.305 0.000
0.000 0.000 6.783
ATOMIC_POSITIONS crystal
Br 0.500 0.500 0.750
Mo 0.000 0.000 0.071
Mo 0.000 0.000 0.429
As 0.500 0.500 0.250
! **Total moment**: 0.0 Bohr magnetons per cell
! **Relative energy among the computed polymorphs**: 194.4 meV/atom
! **Crystal system**: tetragonal
! **E_form (uncorrected)**: 0.327 eV/atom
! **DFT total energy**: -6.67 eV/atom